# Dy2Th2Sc (PBE-GGA, optimized geometry)
# - Energy relative to the elements: 0.051 eV/atom
# - Mass density: 9.07 g cm⁻³
data_Dy2Th2Sc
_cell_length_a 7.029
_cell_length_b 4.983
_cell_length_c 17.429
_cell_angle_alpha 90.00
_cell_angle_beta 90.00
_cell_angle_gamma 90.00
_symmetry_space_group_name_H-M 'P n m a'
_symmetry_Int_Tables_number 62
loop_
_symmetry_equiv_pos_as_xyz
'x,y,z'
'-x,-y,-z'
'-x+1/2,-y,z+1/2'
'x+1/2,y,-z+1/2'
'x+1/2,-y+1/2,-z+1/2'
'-x+1/2,y+1/2,z+1/2'
'-x,y+1/2,-z'
'x,-y+1/2,z'
loop_
_atom_site_label
_atom_site_type_symbol
_atom_site_fract_x
_atom_site_fract_y
_atom_site_fract_z
Dy1 Dy 0.121 0.250 0.149
Dy2 Dy 0.125 0.250 0.549
Th1 Th 0.124 0.250 0.752
Th2 Th 0.126 0.250 0.350
Sc1 Sc 0.130 0.250 0.949